# LiTl3Br

A relaxed structure of LiTl3Br (PBE, Alexandria).

Properties
The space-group type is Pm-3m (221).

abc: 6.0968 6.0968 6.0968
angles: 90.00 90.00 90.00
With the nearest neighbours (Å) after each atom.
Fractional positions:
Li  0.0000  0.0000  0.0000  12 Tl 4.31
Tl  0.0000  0.5000  0.5000  2 Br 3.05
Tl  0.5000  0.0000  0.5000  2 Br 3.05
Tl  0.5000  0.5000  0.0000  2 Br 3.05
Br  0.5000  0.5000  0.5000  6 Tl 3.05


# LiTl2Br

A relaxed structure of LiTl2Br (PBE, Alexandria).

Properties
The space-group type is Fm-3m (225).

abc: 5.5668 5.5668 5.5668
angles: 60.00 60.00 60.00
With the nearest neighbours (Å) after each atom.
Fractional positions:
Li  0.0000  0.0000  0.0000  8 Tl 3.41
Tl  0.2500  0.2500  0.2500  4 Br 3.41, 4 Li 3.41
Tl  0.7500  0.7500  0.7500  4 Li 3.41, 4 Br 3.41
Br  0.5000  0.5000  0.5000  8 Tl 3.41


# Li5Tl3Br12

A relaxed structure of Li5Tl3Br12 (PBE, Alexandria).

Properties
The space-group type is Ia-3d (230).

abc: 14.3577 14.3577 14.3577
angles: 109.47 109.47 109.47
With the nearest neighbours (Å) after each atom.
Fractional positions:
Li  0.0000  0.0000  0.0000  6 Br 2.75
Li  0.0000  0.0000  0.5000  6 Br 2.75
Li  0.0000  0.5000  0.0000  6 Br 2.75
Li  0.0000  0.5000  0.5000  6 Br 2.75
Li  0.1250  0.7500  0.8750  4 Br 2.50
Li  0.1250  0.8750  0.2500  4 Br 2.50
Li  0.2500  0.1250  0.8750  4 Br 2.50
Li  0.2500  0.6250  0.3750  4 Br 2.50
Li  0.3750  0.2500  0.6250  4 Br 2.50
Li  0.3750  0.6250  0.7500  4 Br 2.50
Li  0.5000  0.0000  0.0000  6 Br 2.75
Li  0.5000  0.0000  0.5000  6 Br 2.75
Li  0.5000  0.5000  0.0000  6 Br 2.75
Li  0.5000  0.5000  0.5000  6 Br 2.75
Li  0.6250  0.3750  0.2500  4 Br 2.50
Li  0.6250  0.7500  0.3750  4 Br 2.50
Li  0.7500  0.3750  0.6250  4 Br 2.50
Li  0.7500  0.8750  0.1250  4 Br 2.50
Li  0.8750  0.1250  0.7500  4 Br 2.50
Li  0.8750  0.2500  0.1250  4 Br 2.50
Tl  0.1250  0.2500  0.3750  8 Br 3.14-3.23
Tl  0.1250  0.3750  0.7500  8 Br 3.14-3.23
Tl  0.2500  0.3750  0.1250  8 Br 3.14-3.23
Tl  0.2500  0.8750  0.6250  8 Br 3.14-3.23
Tl  0.3750  0.1250  0.2500  8 Br 3.14-3.23
Tl  0.3750  0.7500  0.1250  8 Br 3.14-3.23
Tl  0.6250  0.2500  0.8750  8 Br 3.14-3.23
Tl  0.6250  0.8750  0.7500  8 Br 3.14-3.23
Tl  0.7500  0.1250  0.3750  8 Br 3.14-3.23
Tl  0.7500  0.6250  0.8750  8 Br 3.14-3.23
Tl  0.8750  0.6250  0.2500  8 Br 3.14-3.23
Tl  0.8750  0.7500  0.6250  8 Br 3.14-3.23
Br  0.0323  0.2114  0.1259  2 Li 2.50-2.75
Br  0.0323  0.3209  0.9065  2 Li 2.50-2.75
Br  0.0855  0.7114  0.6791  2 Li 2.50-2.75
Br  0.0855  0.8741  0.4065  2 Li 2.50-2.75
Br  0.0935  0.6259  0.4145  2 Li 2.50-2.75
Br  0.0935  0.9676  0.6791  2 Li 2.50-2.75
Br  0.1259  0.0323  0.2114  2 Li 2.50-2.75
Br  0.1259  0.5935  0.9145  2 Li 2.50-2.75
Br  0.1791  0.2114  0.5855  2 Li 2.50-2.75
Br  0.1791  0.4676  0.5935  2 Li 2.50-2.75
Br  0.2114  0.1259  0.0323  2 Li 2.50-2.75
Br  0.2114  0.5855  0.1791  2 Li 2.50-2.75
Br  0.2886  0.3209  0.9145  2 Li 2.50-2.75
Br  0.2886  0.4676  0.3741  2 Li 2.50-2.75
Br  0.3209  0.9065  0.0323  2 Li 2.50-2.75
Br  0.3209  0.9145  0.2886  2 Li 2.50-2.75
Br  0.3741  0.2886  0.4676  2 Li 2.50-2.75
Br  0.3741  0.5855  0.9065  2 Li 2.50-2.75
Br  0.4065  0.0855  0.8741  2 Li 2.50-2.75
Br  0.4065  0.8209  0.5324  2 Li 2.50-2.75
Br  0.4145  0.0935  0.6259  2 Li 2.50-2.75
Br  0.4145  0.8209  0.7886  2 Li 2.50-2.75
Br  0.4676  0.3741  0.2886  2 Li 2.50-2.75
Br  0.4676  0.5935  0.1791  2 Li 2.50-2.75
Br  0.5324  0.4065  0.8209  2 Li 2.50-2.75
Br  0.5324  0.6259  0.7114  2 Li 2.50-2.75
Br  0.5855  0.1791  0.2114  2 Li 2.50-2.75
Br  0.5855  0.9065  0.3741  2 Li 2.50-2.75
Br  0.5935  0.1791  0.4676  2 Li 2.50-2.75
Br  0.5935  0.9145  0.1259  2 Li 2.50-2.75
Br  0.6259  0.4145  0.0935  2 Li 2.50-2.75
Br  0.6259  0.7114  0.5324  2 Li 2.50-2.75
Br  0.6791  0.0855  0.7114  2 Li 2.50-2.75
Br  0.6791  0.0935  0.9676  2 Li 2.50-2.75
Br  0.7114  0.5324  0.6259  2 Li 2.50-2.75
Br  0.7114  0.6791  0.0855  2 Li 2.50-2.75
Br  0.7886  0.4145  0.8209  2 Li 2.50-2.75
Br  0.7886  0.8741  0.9676  2 Li 2.50-2.75
Br  0.8209  0.5324  0.4065  2 Li 2.50-2.75
Br  0.8209  0.7886  0.4145  2 Li 2.50-2.75
Br  0.8741  0.4065  0.0855  2 Li 2.50-2.75
Br  0.8741  0.9676  0.7886  2 Li 2.50-2.75
Br  0.9065  0.0323  0.3209  2 Li 2.50-2.75
Br  0.9065  0.3741  0.5855  2 Li 2.50-2.75
Br  0.9145  0.1259  0.5935  2 Li 2.50-2.75
Br  0.9145  0.2886  0.3209  2 Li 2.50-2.75
Br  0.9676  0.6791  0.0935  2 Li 2.50-2.75
Br  0.9676  0.7886  0.8741  2 Li 2.50-2.75


# Li4TlBr

A relaxed structure of Li4TlBr (PBE, Alexandria).

Properties
The space-group type is F-43m (216).

abc: 5.8049 5.8049 5.8049
angles: 60.00 60.00 60.00
With the nearest neighbours (Å) after each atom.
Fractional positions:
Li  0.1240  0.1240  0.1240  6 Li 2.88-2.93
Li  0.1240  0.1240  0.6280  6 Li 2.88-2.93
Li  0.1240  0.6280  0.1240  6 Li 2.88-2.93
Li  0.6280  0.1240  0.1240  6 Li 2.88-2.93
Tl  0.7500  0.7500  0.7500  12 Li 3.40, 4 Br 3.55
Br  0.5000  0.5000  0.5000  12 Li 3.41, 4 Tl 3.55


Number 1: ΔE_f (raw) 53 meV per atom, spin magnetization 0.0 μB/f.u., volume 45.32 Å³/atom. Number 2: ΔE_f (raw) -170 meV per atom, spin magnetization 0.0 μB/f.u., volume 30.50 Å³/atom. Number 3: ΔE_f (raw) -904 meV per atom, spin magnetization 0.0 μB/f.u., volume 28.48 Å³/atom. Number 4: ΔE_f (raw) -152 meV per atom, spin magnetization 0.2 μB/f.u., volume 23.05 Å³/atom.